No. 1
DFT (PBE) results for a relaxed Pm6Co2PI3 crystal.

Output
The calculation puts the formation energy from raw total energies at -79.0 kJ per mole of atoms. The value obtained for the density of states at the Fermi level is 5.3 states/eV per cell.

Unit cell a=7.149 b=12.379 c=8.279 alpha=90.00 beta=106.62 gamma=90.00
Space group C2/m (No. 12)
One atom of each set of equivalent atoms:
Pm (0.214, 0.000, 0.183) (multiplicity 4)
Pm (0.235, 0.326, 0.183) (multiplicity 8)
Co (0.000, 0.167, 0.000) (multiplicity 4)
P (0.000, 0.500, 0.000) (multiplicity 2)
I (0.000, 0.000, 0.500) (multiplicity 2)
I (0.000, 0.336, 0.500) (multiplicity 4)

=====

No. 2
DFT (PBE) results for a relaxed Pm6Nd2HoTm crystal.

Output
The total energy comes out at -183.8 eV per cell. The value obtained for the density of states at the Fermi level is 56.6 states/eV per cell.

Unit cell a=9.183 b=15.328 c=9.798 alpha=90.00 beta=98.47 gamma=90.00
Space group C2/c (No. 15)
One atom of each set of equivalent atoms:
Pm (0.062, 0.185, 0.444) (multiplicity 8)
Pm (0.104, 0.395, 0.619) (multiplicity 8)
Pm (0.205, 0.221, 0.810) (multiplicity 8)
Nd (0.247, 0.051, 0.042) (multiplicity 8)
Ho (0.000, 0.020, 0.750) (multiplicity 4)
Tm (0.000, 0.408, 0.250) (multiplicity 4)

=====

No. 3
DFT (PBE) results for a relaxed CrFe2Mo2 crystal.

Output
The total energy comes out at -93.2 eV per cell. The value obtained for the density of states at the Fermi level is 11.0 states/eV per cell.

Unit cell a=6.799 b=6.799 c=2.865 alpha=90.00 beta=90.00 gamma=90.00
Space group P4/mbm (No. 127)
One atom of each set of equivalent atoms:
Cr (0.000, 0.000, 0.000) (multiplicity 2)
Fe (0.128, 0.372, 0.000) (multiplicity 4)
Mo (0.174, 0.674, 0.500) (multiplicity 4)

=====

No. 4
DFT (PBE) results for a relaxed AsAuSe2N crystal.

Output
The polymorph energy (0 for the lowest one) comes out at 1047 meV per atom. The calculation puts the formation energy from raw total energies at 191.1 kJ per mole of atoms. The value obtained for the density of states at the Fermi level is 8.8 states/eV per cell.

Unit cell a=5.079 b=5.079 c=4.949 alpha=90.00 beta=90.00 gamma=90.00
Space group P4/mmm (No. 123)
One atom of each set of equivalent atoms:
As (0.000, 0.000, 0.000) (multiplicity 1)
Au (0.000, 0.000, 0.500) (multiplicity 1)
Se (0.000, 0.500, 0.500) (multiplicity 2)
N (0.500, 0.500, 0.000) (multiplicity 1)

=====

No. 5
DFT (PBE) results for a relaxed NaCe3Ir8 crystal.

Output
The total energy comes out at -291.5 eV per cell. The value obtained for the density of states at the Fermi level is 39.5 states/eV per cell.

Unit cell a=5.3700 b=5.3700 c=26.3034 alpha=90.00 beta=90.00 gamma=120.00
Space group R3m (No. 160, hexagonal axes)
One atom of each set of equivalent atoms:
Na (0.0000, 0.0000, 0.0000) (multiplicity 3)
Ce (0.0000, 0.0000, 0.3682) (multiplicity 3)
Ce (0.0000, 0.0000, 0.4954) (multiplicity 3)
Ce (0.0000, 0.0000, 0.8785) (multiplicity 3)
Ir (0.0000, 0.0000, 0.1856) (multiplicity 3)
Ir (0.0000, 0.0000, 0.6854) (multiplicity 3)
Ir (0.0014, 0.5007, 0.4361) (multiplicity 9)
Ir (0.1684, 0.3368, 0.2683) (multiplicity 9)

=====

No. 6
DFT (PBE) results for a relaxed Al2OsW crystal.

Output
The polymorph energy (0 for the lowest one) comes out at 228 meV per atom. The value obtained for the density of states at the Fermi level is 9.6 states/eV per cell.

Unit cell a=2.8387 b=2.8387 c=25.8644 alpha=90.00 beta=90.00 gamma=120.00
Space group R-3m (No. 166, hexagonal axes)
One atom of each set of equivalent atoms:
Al (0.0000, 0.0000, 0.2461) (multiplicity 6)
Os (0.0000, 0.0000, 0.5000) (multiplicity 3)
W (0.0000, 0.0000, 0.0000) (multiplicity 3)

=====

No. 7
DFT (PBE) results for a relaxed Pa2CuPd3 crystal.

Output
The total energy comes out at -82.6 eV per cell. The value obtained for the density of states at the Fermi level is 18.2 states/eV per cell.

Unit cell a=5.5507 b=5.5507 c=8.1932 alpha=90.00 beta=90.00 gamma=120.00
Space group P6_3/mmc (No. 194)
One atom of each set of equivalent atoms:
Pa (0.3333, 0.6667, 0.0744) (multiplicity 4)
Cu (0.0000, 0.0000, 0.0000) (multiplicity 2)
Pd (0.1687, 0.3373, 0.7500) (multiplicity 6)

=====

No. 8
DFT (PBE) results for a relaxed Li2CdSnSe4 crystal.

Output
The calculation puts the formation energy from raw total energies at -77.2 kJ per mole of atoms.

Unit cell a=8.450 b=7.374 c=6.941 alpha=90.00 beta=90.00 gamma=90.00
Space group Pmn2_1 (No. 31)
One atom of each set of equivalent atoms:
Li (0.248, 0.172, 0.000) (multiplicity 4)
Cd (0.000, 0.344, 0.495) (multiplicity 2)
Sn (0.000, 0.669, 0.998) (multiplicity 2)
Se (0.000, 0.339, 0.884) (multiplicity 2)
Se (0.000, 0.686, 0.369) (multiplicity 2)
Se (0.243, 0.842, 0.871) (multiplicity 4)

=====

No. 9
DFT (PBE) results for a relaxed LaCuSb2 crystal.

Output
The calculation puts the formation energy from raw total energies at -30.5 kJ per mole of atoms. The value obtained for the density of states at the Fermi level is 4.3 states/eV per cell.

Unit cell a=4.599 b=6.272 c=7.224 alpha=90.00 beta=90.00 gamma=90.00
Space group Cmmm (No. 65)
One atom of each set of equivalent atoms:
La (0.000, 0.000, 0.000) (multiplicity 2)
Cu (0.000, 0.000, 0.500) (multiplicity 2)
Sb (0.000, 0.500, 0.292) (multiplicity 4)